## CrAgF4 (GGA+U)

Data for an optimized crystal structure of CrAgF4.

Calculated values
- Symmetry: Cmmm
- Distance to the lowest polymorph of the same formula: 13 meV/atom
- Total moment: 3.0 μB/cell

Lattice parameters (Å, degrees): 3.100 5.428 5.428 92.47 90.00 90.00
Atoms (fractional coordinates):
Cr  0.000  0.000  0.000
Ag  0.500  0.500  0.500
F  0.500  0.839  0.161
F  0.500  0.161  0.839
F  0.000  0.255  0.255
F  0.000  0.745  0.745